This record from Alexandria via LeMat-Bulk describes an optimized crystal structure of Be2NiSb. The functional is PBE.

Results
The density of states at the Fermi level is 1.43 states/eV per cell. The uncorrected formation energy is 0.070 eV per atom. The symmetry is Cm (8).

a b c (Å): 3.8093 3.8093 4.8174
angles (deg): 67.39 67.39 60.08
Closest atoms and distances in Å follow each position.
Atoms (fractional coordinates):
Sb  0.2408  0.2408  0.2776  5 Be 2.53-2.81, 4 Ni 2.58-2.82
Be  0.0455  0.0455  0.8644  3 Be 2.34-2.35, 3 Ni 2.34, 1 Sb 2.53
Be  0.7742  0.7742  0.6770  3 Ni 2.20, 3 Be 2.34-2.35
Ni  0.4396  0.4396  0.6810  6 Be 2.20-2.34